No. 1
The following is a DFT calculation (PBE) of a relaxed structure of La2TbNdAs4.

abc: 7.4308 4.2941 7.4313
angles: 90.00 109.46 90.00
With the nearest neighbours (Å) after each atom.
Space group P2/m (No. 10)
One atom of each set of equivalent atoms:
La 0.0000 0.0000 0.0000 [1 per cell]  6 As 3.08
La 0.0000 0.5000 0.5000 [1 per cell]  6 As 3.05
Tb 0.5000 0.0000 0.5000 [1 per cell]  6 As 2.98-2.99
Nd 0.5000 0.5000 0.0000 [1 per cell]  6 As 3.02
As 0.2569 0.0000 0.7487 [2 per cell]  1 Tb 2.98, 2 Nd 3.02, 3 La 3.05-3.08
As 0.2594 0.5000 0.2567 [2 per cell]  2 Tb 2.99, 1 Nd 3.02, 3 La 3.05-3.08

Calculated values
crystal system	monoclinic

=====

No. 2
The following is a DFT calculation (PBE) of a relaxed structure of La3Tb2NdAs6.

abc: 7.4152 12.8428 7.4127
angles: 90.00 109.47 90.00
With the nearest neighbours (Å) after each atom.
Space group C2/m (No. 12)
One atom of each set of equivalent atoms:
La 0.0000 0.0000 0.0000 [2 per cell]  6 As 3.04-3.08
La 0.0000 0.3341 0.0000 [4 per cell]  6 As 3.05-3.08
Tb 0.0000 0.1669 0.5000 [4 per cell]  6 As 2.97-2.98
Nd 0.0000 0.5000 0.5000 [2 per cell]  6 As 3.01-3.02
As 0.2424 0.0000 0.7401 [4 per cell]  2 Tb 2.98, 1 Nd 3.01, 3 La 3.04-3.07
As 0.2491 0.3312 0.7408 [8 per cell]  2 Tb 2.97-2.98, 1 Nd 3.02, 3 La 3.05-3.08

Calculated values
crystal system	monoclinic

=====

No. 3
The following is a DFT calculation (PBE) of a relaxed structure of La3TbNd2As6.

abc: 7.4526 12.9075 7.4531
angles: 90.00 109.46 90.00
With the nearest neighbours (Å) after each atom.
Space group C2/m (No. 12)
One atom of each set of equivalent atoms:
La 0.0000 0.0000 0.0000 [2 per cell]  6 As 3.06-3.09
La 0.0000 0.3325 0.0000 [4 per cell]  6 As 3.06-3.09
Tb 0.0000 0.5000 0.5000 [2 per cell]  6 As 2.99
Nd 0.0000 0.1664 0.5000 [4 per cell]  6 As 3.03
As 0.2454 0.3355 0.7429 [8 per cell]  1 Tb 2.99, 2 Nd 3.03, 3 La 3.06-3.09
As 0.2477 0.5000 0.2562 [4 per cell]  1 Tb 2.99, 2 Nd 3.03, 3 La 3.06-3.09

Calculated values
crystal system	monoclinic

=====

Calculated final energy in order - -0.461 -0.461 -0.462 Ry/atom